Crystalline Zn2AuBr at its relaxed geometry. Source: Alexandria, functional PBE.

Energy above the most stable polymorph in this dataset ... 511 meV/atom
M_tot ... 0.00 μB per cell
V ... 20.18 A^3/atom
ΔE_f (raw) ... 0.26 eV/atom
SG ... Fm-3m

Cell lengths 4.851, 4.851, 4.851 Å; angles 60.00, 60.00, 60.00 degrees
Positions (direct):
Zn 0.250 0.250 0.250
Zn 0.750 0.750 0.750
Au 0.000 0.000 0.000
Br 0.500 0.500 0.500